# 1
{"formula": "NiAsC2", "functional": "GGA-PBE", "state": "optimized geometry", "space_group": "Cm (8)", "cell": [[-1.6682, 1.2084, 1.5437], [-3.2495, -1.5609, -0.1441], [0.2122, -4.0003, 3.3656]], "species": ["Ni", "As", "C", "C"], "frac_coords": [[0.2355, 0.1003, 0.7680], [0.4645, 0.6420, 0.4752], [0.0388, 0.4947, 0.9954], [0.5034, 0.5656, 0.0978]]}


# 2
{"formula": "NiAsC2", "functional": "GGA-PBE", "state": "optimized geometry", "space_group": "Cm (8)", "cell": [[6.0218, 0.0000, -0.0170], [0.0000, 3.0096, 0.0000], [-1.5007, 0.0000, 4.9932]], "species": ["Ni", "Ni", "As", "As", "C", "C", "C", "C"], "frac_coords": [[0.3315, 0.0000, 0.4508], [0.3315, 0.5000, 0.9508], [0.7580, 0.0000, 0.5913], [0.7580, 0.5000, 0.0913], [0.9300, 0.0000, 0.9824], [0.9300, 0.5000, 0.4824], [0.1780, 0.0000, 0.0656], [0.1780, 0.5000, 0.5656]]}


# 3
{"formula": "Ni2AsC", "functional": "GGA-PBE", "state": "optimized geometry", "space_group": "I-42d (122)", "cell": [[4.4561, 0.0000, 0.0000], [0.0000, 4.4561, 0.0000], [2.2280, 2.2280, 5.3635]], "species": ["Ni", "Ni", "Ni", "Ni", "As", "As", "C", "C"], "frac_coords": [[0.5213, 0.1250, 0.2500], [0.2287, 0.6250, 0.2500], [0.3750, 0.4787, 0.7500], [0.8750, 0.7713, 0.7500], [0.0000, 0.0000, 0.0000], [0.7500, 0.2500, 0.5000], [0.5000, 0.5000, 0.0000], [0.2500, 0.7500, 0.5000]]}


# 4
{"formula": "NiAsC3", "functional": "GGA-PBE", "state": "optimized geometry", "space_group": "Pm-3m (221)", "cell": [[-3.3312, -1.2659, -1.4896], [1.8852, -2.8585, -1.7868], [-0.5168, -2.2681, 3.0833]], "species": ["Ni", "As", "C", "C", "C"], "frac_coords": [[0.5000, 0.5000, 0.5000], [0.0000, 0.0000, 0.0000], [0.0000, 0.5000, 0.0000], [0.0000, 0.0000, 0.5000], [0.5000, 0.0000, 0.0000]]}


# 5
{"formula": "NiAsC2", "functional": "GGA-PBE", "state": "optimized geometry", "space_group": "Amm2 (38)", "cell": [[-3.0979, 1.7473, 2.3034], [-2.0569, -3.0811, -0.4290], [3.1350, -2.9964, 6.4894]], "species": ["Ni", "Ni", "As", "As", "C", "C", "C", "C"], "frac_coords": [[0.5000, 0.0000, 0.3790], [0.5000, 0.5000, 0.8790], [0.5000, 0.0000, 0.7058], [0.5000, 0.5000, 0.2058], [0.8477, 0.0000, 0.5351], [0.1523, 0.0000, 0.5351], [0.8477, 0.5000, 0.0351], [0.1523, 0.5000, 0.0351]]}


# 6
{"formula": "NiAsC2", "functional": "GGA-PBE", "state": "optimized geometry", "space_group": "P1 (1)", "cell": [[3.0435, 0.0148, -0.0088], [-1.2850, 3.4069, 0.0020], [-0.2949, -0.5541, 4.3665]], "species": ["Ni", "As", "C", "C"], "frac_coords": [[0.7085, 0.3949, 0.2808], [0.5084, 0.8163, 0.9273], [0.9929, 0.8663, 0.6377], [0.1002, 0.1200, 0.4228]]}


# 7
{"formula": "NiAsC2", "functional": "GGA-PBE", "state": "optimized geometry", "space_group": "Pm (6)", "cell": [[3.7945, 0.0000, 0.0197], [0.0000, 2.5329, 0.0000], [-1.8363, 0.0000, 5.4562]], "species": ["Ni", "As", "C", "C"], "frac_coords": [[0.5754, 0.5000, 0.6691], [0.0009, 0.0000, 0.5090], [0.7532, 0.5000, 0.0244], [0.8094, 0.0000, 0.1339]]}


# 8
{"formula": "Ni2AsC", "functional": "GGA-PBE", "state": "optimized geometry", "space_group": "Fm-3m (225)", "cell": [[2.4973, -3.0735, 0.0734], [0.0874, -2.4061, 3.1451], [-1.3973, -3.6946, -0.2935]], "species": ["Ni", "Ni", "As", "C"], "frac_coords": [[0.2500, 0.2500, 0.2500], [0.7500, 0.7500, 0.7500], [0.5000, 0.5000, 0.5000], [0.0000, 0.0000, 0.0000]]}


# 9
{"formula": "NiAsC2", "functional": "GGA-PBE", "state": "optimized geometry", "space_group": "Cm (8)", "cell": [[5.6784, 0.0000, -0.0145], [0.0000, 2.5700, 0.0000], [-5.3210, 0.0000, 6.7784]], "species": ["Ni", "Ni", "As", "As", "C", "C", "C", "C"], "frac_coords": [[0.1049, 0.0000, 0.1814], [0.1049, 0.5000, 0.6814], [0.0586, 0.0000, 0.8955], [0.0586, 0.5000, 0.3955], [0.6739, 0.0000, 0.8743], [0.6739, 0.5000, 0.3743], [0.5341, 0.0000, 0.3333], [0.5341, 0.5000, 0.8333]]}


# 10
{"formula": "NiAsC2", "functional": "GGA-PBE", "state": "optimized geometry", "space_group": "P3m1 (156)", "cell": [[-2.1036, 2.1180, 0.2842], [0.4818, -1.9436, 2.2320], [3.9204, 3.5880, 2.2781]], "species": ["Ni", "As", "C", "C"], "frac_coords": [[0.3333, 0.6667, 0.6650], [0.3333, 0.6667, 0.2444], [0.6667, 0.3333, 0.0712], [0.6667, 0.3333, 0.8219]]}


# 11
{"formula": "NiAs3C", "functional": "GGA-PBE", "state": "optimized geometry", "space_group": "Pm-3m (221)", "cell": [[-0.3929, 1.9007, -3.7924], [2.1686, -3.1833, -1.8201], [-3.6459, -2.0984, -0.6740]], "species": ["Ni", "As", "As", "As", "C"], "frac_coords": [[0.5000, 0.5000, 0.5000], [0.0000, 0.5000, 0.0000], [0.0000, 0.0000, 0.5000], [0.5000, 0.0000, 0.0000], [0.0000, 0.0000, 0.0000]]}


# 12
{"formula": "NiAsC2", "functional": "GGA-PBE", "state": "optimized geometry", "space_group": "I-42d (122)", "cell": [[-2.5883, 3.2208, 1.7749], [-3.4210, -1.3123, -2.6073], [-4.3515, -1.8913, 2.7833]], "species": ["Ni", "Ni", "As", "As", "C", "C", "C", "C"], "frac_coords": [[0.5000, 0.5000, 0.0000], [0.2500, 0.7500, 0.5000], [0.0000, 0.0000, 0.0000], [0.7500, 0.2500, 0.5000], [0.6181, 0.1250, 0.2500], [0.1319, 0.6250, 0.2500], [0.3750, 0.3819, 0.7500], [0.8750, 0.8681, 0.7500]]}


Number 1: energy of formation 2.00 eV per formula unit. Number 2: energy of formation 2.47 eV per formula unit. Number 3: energy of formation 1.55 eV per formula unit. Number 4: energy of formation 13.83 eV per formula unit. Number 5: energy of formation 3.04 eV per formula unit. Number 6: energy of formation 2.85 eV per formula unit. Number 7: energy of formation 1.90 eV per formula unit. Number 8: energy of formation 3.66 eV per formula unit. Number 9: energy of formation 2.19 eV per formula unit. Number 10: energy of formation 2.59 eV per formula unit. Number 11: energy of formation 5.61 eV per formula unit. Number 12: energy of formation 3.76 eV per formula unit.